DFT (GGA-PBE) results for a relaxed structure of AcPuH2.

DOS(E_F), states/eV per cell: 8.9
Calculated density, g/cm3: 10.950
Symmetry: R-3m
Spin magnetization, μB/f.u.: 6.08
Energy, eV/atom: -6.48

a = 6.333 Å, b = 6.333 Å, c = 6.333 Å
α = 34.25°, β = 34.25°, γ = 34.25°
Atoms (fractional coordinates):
Ac 0.000 0.000 0.000
Pu 0.500 0.500 0.500
H 0.237 0.237 0.237
H 0.763 0.763 0.763



DFT (GGA-PBE) results for a relaxed structure of Ac3PuH.

DOS(E_F), states/eV per cell: 16.4
Calculated density, g/cm3: 9.496
Symmetry: Pm-3m
Spin magnetization, μB/f.u.: 6.63
Energy, eV/atom: -6.01

a = 5.451 Å, b = 5.451 Å, c = 5.451 Å
α = 90.00°, β = 90.00°, γ = 90.00°
Atoms (fractional coordinates):
Ac 0.000 0.000 0.500
Ac 0.000 0.500 0.000
Ac 0.500 0.000 0.000
Pu 0.500 0.500 0.500
H 0.000 0.000 0.000



DFT (GGA-PBE) results for a relaxed structure of AcPuH6Rh2.

DOS(E_F), states/eV per cell: 22.5
Calculated density, g/cm3: 9.530
Symmetry: C2/c
Spin magnetization, μB/f.u.: 4.99
Energy, eV/atom: -5.76

a = 6.303 Å, b = 6.303 Å, c = 6.594 Å
α = 103.50°, β = 103.50°, γ = 101.98°
Atoms (fractional coordinates):
Ac 0.149 0.851 0.750
Ac 0.851 0.149 0.250
Pu 0.409 0.591 0.250
Pu 0.591 0.409 0.750
H 0.091 0.568 0.380
H 0.162 0.226 0.020
H 0.226 0.162 0.520
H 0.307 0.532 0.875
H 0.432 0.909 0.120
H 0.468 0.693 0.625
H 0.532 0.307 0.375
H 0.568 0.091 0.880
H 0.693 0.468 0.125
H 0.774 0.838 0.480
H 0.838 0.774 0.980
H 0.909 0.432 0.620
Rh 0.048 0.332 0.818
Rh 0.332 0.048 0.318
Rh 0.668 0.952 0.682
Rh 0.952 0.668 0.182



DFT (GGA-PBE) results for a relaxed structure of Ac2PuH12Rh3.

DOS(E_F), states/eV per cell: 13.4
Calculated density, g/cm3: 8.667
Symmetry: R-3m
Spin magnetization, μB/f.u.: 6.47
Energy, eV/atom: -5.04

a = 6.346 Å, b = 6.346 Å, c = 6.346 Å
α = 63.62°, β = 63.62°, γ = 63.62°
Atoms (fractional coordinates):
Ac 0.116 0.116 0.116
Ac 0.884 0.884 0.884
Pu 0.500 0.500 0.500
H 0.086 0.627 0.627
H 0.220 0.220 0.610
H 0.220 0.610 0.220
H 0.373 0.373 0.914
H 0.373 0.914 0.373
H 0.390 0.780 0.780
H 0.610 0.220 0.220
H 0.627 0.086 0.627
H 0.627 0.627 0.086
H 0.780 0.390 0.780
H 0.780 0.780 0.390
H 0.914 0.373 0.373
Rh 0.000 0.500 0.500
Rh 0.500 0.000 0.500
Rh 0.500 0.500 0.000



DFT (GGA-PBE) results for a relaxed structure of AcPuHSe2.

DOS(E_F), states/eV per cell: 21.7
Calculated density, g/cm3: 8.300
Symmetry: P4/nmm
Spin magnetization, μB/f.u.: 5.66
Energy, eV/atom: -7.10

a = 4.264 Å, b = 4.264 Å, c = 13.865 Å
α = 90.00°, β = 90.00°, γ = 90.00°
Atoms (fractional coordinates):
Ac 0.250 0.250 0.137
Ac 0.750 0.750 0.863
Pu 0.250 0.250 0.573
Pu 0.750 0.750 0.427
H 0.250 0.750 0.500
H 0.750 0.250 0.500
Se 0.250 0.250 0.353
Se 0.250 0.250 0.900
Se 0.750 0.750 0.100
Se 0.750 0.750 0.647



DFT (GGA-PBE) results for a relaxed structure of AcPuTe2H.

DOS(E_F), states/eV per cell: 23.4
Calculated density, g/cm3: 8.022
Symmetry: P4/nmm
Spin magnetization, μB/f.u.: 5.69
Energy, eV/atom: -6.65

a = 4.433 Å, b = 4.433 Å, c = 15.322 Å
α = 90.00°, β = 90.00°, γ = 90.00°
Atoms (fractional coordinates):
Ac 0.250 0.250 0.143
Ac 0.750 0.750 0.857
Pu 0.250 0.250 0.561
Pu 0.750 0.750 0.439
Te 0.250 0.250 0.352
Te 0.250 0.250 0.911
Te 0.750 0.750 0.089
Te 0.750 0.750 0.648
H 0.250 0.750 0.500
H 0.750 0.250 0.500



DFT (GGA-PBE) results for a relaxed structure of Ac12Re3H5.

DOS(E_F), states/eV per cell: 62.5
Calculated density, g/cm3: 9.427
Symmetry: Ia-3d
Spin magnetization, μB/f.u.: 0.00
Energy, eV/atom: -5.12

a = 14.437 Å, b = 14.437 Å, c = 14.437 Å
α = 109.47°, β = 109.47°, γ = 109.47°
Atoms (fractional coordinates):
Ac 0.033 0.219 0.125
Ac 0.033 0.314 0.908
Ac 0.092 0.625 0.406
Ac 0.092 0.967 0.686
Ac 0.094 0.719 0.686
Ac 0.094 0.875 0.408
Ac 0.125 0.033 0.219
Ac 0.125 0.592 0.906
Ac 0.186 0.219 0.594
Ac 0.186 0.467 0.592
Ac 0.219 0.125 0.033
Ac 0.219 0.594 0.186
Ac 0.281 0.314 0.906
Ac 0.281 0.467 0.375
Ac 0.314 0.906 0.281
Ac 0.314 0.908 0.033
Ac 0.375 0.281 0.467
Ac 0.375 0.594 0.908
Ac 0.406 0.092 0.625
Ac 0.406 0.814 0.781
Ac 0.408 0.094 0.875
Ac 0.408 0.814 0.533
Ac 0.467 0.375 0.281
Ac 0.467 0.592 0.186
Ac 0.533 0.408 0.814
Ac 0.533 0.625 0.719
Ac 0.592 0.186 0.467
Ac 0.592 0.906 0.125
Ac 0.594 0.186 0.219
Ac 0.594 0.908 0.375
Ac 0.625 0.406 0.092
Ac 0.625 0.719 0.533
Ac 0.686 0.092 0.967
Ac 0.686 0.094 0.719
Ac 0.719 0.533 0.625
Ac 0.719 0.686 0.094
Ac 0.781 0.406 0.814
Ac 0.781 0.875 0.967
Ac 0.814 0.533 0.408
Ac 0.814 0.781 0.406
Ac 0.875 0.408 0.094
Ac 0.875 0.967 0.781
Ac 0.906 0.125 0.592
Ac 0.906 0.281 0.314
Ac 0.908 0.033 0.314
Ac 0.908 0.375 0.594
Ac 0.967 0.686 0.092
Ac 0.967 0.781 0.875
Re 0.125 0.250 0.375
Re 0.125 0.375 0.750
Re 0.250 0.375 0.125
Re 0.250 0.875 0.625
Re 0.375 0.125 0.250
Re 0.375 0.750 0.125
Re 0.625 0.250 0.875
Re 0.625 0.875 0.750
Re 0.750 0.125 0.375
Re 0.750 0.625 0.875
Re 0.875 0.625 0.250
Re 0.875 0.750 0.625
H 0.000 0.000 0.000
H 0.000 0.000 0.500
H 0.000 0.500 0.000
H 0.000 0.500 0.500
H 0.125 0.750 0.875
H 0.125 0.875 0.250
H 0.250 0.125 0.875
H 0.250 0.625 0.375
H 0.375 0.250 0.625
H 0.375 0.625 0.750
H 0.500 0.000 0.000
H 0.500 0.000 0.500
H 0.500 0.500 0.000
H 0.500 0.500 0.500
H 0.625 0.375 0.250
H 0.625 0.750 0.375
H 0.750 0.375 0.625
H 0.750 0.875 0.125
H 0.875 0.125 0.750
H 0.875 0.250 0.125



DFT (GGA-PBE) results for a relaxed structure of AcReH6.

DOS(E_F), states/eV per cell: 2.4
Calculated density, g/cm3: 8.342
Symmetry: R-3m
Spin magnetization, μB/f.u.: 2.00
Energy, eV/atom: -4.68

a = 4.920 Å, b = 4.920 Å, c = 4.920 Å
α = 59.61°, β = 59.61°, γ = 59.61°
Atoms (fractional coordinates):
Ac 0.000 0.000 0.000
Re 0.500 0.500 0.500
H 0.069 0.602 0.602
H 0.398 0.398 0.931
H 0.398 0.931 0.398
H 0.602 0.069 0.602
H 0.602 0.602 0.069
H 0.931 0.398 0.398



DFT (GGA-PBE) results for a relaxed structure of AcRe2H8.

DOS(E_F), states/eV per cell: 4.0
Calculated density, g/cm3: 10.097
Symmetry: Cm
Spin magnetization, μB/f.u.: 0.00
Energy, eV/atom: -5.16

a = 4.809 Å, b = 4.809 Å, c = 4.913 Å
α = 91.86°, β = 91.86°, γ = 118.23°
Atoms (fractional coordinates):
Ac 0.000 0.000 0.000
Re 0.427 0.726 0.472
Re 0.726 0.427 0.472
H 0.032 0.488 0.244
H 0.063 0.797 0.526
H 0.385 0.385 0.661
H 0.413 0.850 0.801
H 0.488 0.032 0.244
H 0.516 0.516 0.175
H 0.797 0.063 0.526
H 0.850 0.413 0.801



DFT (GGA-PBE) results for a relaxed structure of AcHRh.

Distance to the lowest polymorph of the same formula, eV/atom: 0.1293
DOS(E_F), states/eV per cell: 6.4
Calculated density, g/cm3: 9.426
Symmetry: Pbca
Spin magnetization, μB/f.u.: 0.00

a = 5.974 Å, b = 12.857 Å, c = 6.072 Å
α = 90.00°, β = 90.00°, γ = 90.00°
Atoms (fractional coordinates):
Ac 0.133 0.141 0.001
Ac 0.133 0.359 0.501
Ac 0.367 0.641 0.001
Ac 0.367 0.859 0.501
Ac 0.633 0.141 0.499
Ac 0.633 0.359 0.999
Ac 0.867 0.641 0.499
Ac 0.867 0.859 0.999
H 0.013 0.502 0.827
H 0.013 0.998 0.327
H 0.487 0.002 0.827
H 0.487 0.498 0.327
H 0.513 0.502 0.673
H 0.513 0.998 0.173
H 0.987 0.002 0.673
H 0.987 0.498 0.173
Rh 0.114 0.101 0.501
Rh 0.114 0.399 0.001
Rh 0.386 0.601 0.501
Rh 0.386 0.899 0.001
Rh 0.614 0.101 0.999
Rh 0.614 0.399 0.499
Rh 0.886 0.601 0.999
Rh 0.886 0.899 0.499



DFT (GGA-PBE) results for a relaxed structure of AcHRh.

Distance to the lowest polymorph of the same formula, eV/atom: 0.0573
DOS(E_F), states/eV per cell: 2.9
Calculated density, g/cm3: 9.644
Symmetry: Pmma
Spin magnetization, μB/f.u.: 0.00

a = 4.393 Å, b = 3.884 Å, c = 6.679 Å
α = 90.00°, β = 90.00°, γ = 90.00°
Atoms (fractional coordinates):
Ac 0.250 0.000 0.247
Ac 0.750 0.000 0.753
H 0.250 0.500 0.912
H 0.750 0.500 0.088
Rh 0.250 0.500 0.658
Rh 0.750 0.500 0.342



DFT (GGA-PBE) results for a relaxed structure of AcH2Rh2.

Distance to the lowest polymorph of the same formula, eV/atom: 0.0026
DOS(E_F), states/eV per cell: 5.5
Calculated density, g/cm3: 9.098
Symmetry: P-1
Spin magnetization, μB/f.u.: 0.00

a = 4.674 Å, b = 4.685 Å, c = 7.900 Å
α = 73.68°, β = 73.28°, γ = 88.41°
Atoms (fractional coordinates):
Ac 0.121 0.379 0.250
Ac 0.879 0.621 0.750
H 0.314 0.925 0.151
H 0.426 0.817 0.652
H 0.574 0.183 0.348
H 0.686 0.075 0.849
Rh 0.279 0.052 0.926
Rh 0.448 0.223 0.572
Rh 0.552 0.777 0.428
Rh 0.721 0.948 0.074



Q: The lowest calculated density belongs to which entry?
A: AcPuTe2H